Material: TbInPb2Br8
Method: DFT, PBE-GGA
State: relaxed

E_form (uncorrected) ... -1173.3 meV per atom
Spin magnetization ... 0.00 Bohr magnetons per cell
Density of states at the Fermi level ... 0.00 states/eV per cell

```
data_TbInPb2Br8
_cell_length_a 7.250
_cell_length_b 6.881
_cell_length_c 9.227
_cell_angle_alpha 89.99
_cell_angle_beta 90.00
_cell_angle_gamma 89.12
_space_group_name_H-M_alt 'P 1'
_space_group_IT_number 1
loop_
_space_group_symop_operation_xyz
'x,y,z'
loop_
_atom_site_label
_atom_site_type_symbol
_atom_site_fract_x
_atom_site_fract_y
_atom_site_fract_z
_atom_site_occupancy
Tb1 Tb 0.000 0.000 0.000 1
In1 In 0.000 0.000 0.500 1
Pb1 Pb 0.500 0.500 0.749 1
Pb2 Pb 0.500 0.500 0.251 1
Br1 Br 0.156 0.764 0.220 1
Br2 Br 0.681 0.760 0.000 1
Br3 Br 0.844 0.236 0.220 1
Br4 Br 0.844 0.236 0.780 1
Br5 Br 0.319 0.240 0.000 1
Br6 Br 0.156 0.764 0.780 1
Br7 Br 0.640 0.729 0.500 1
Br8 Br 0.360 0.271 0.500 1
```